The following is a GGA+U calculation of a relaxed structure of VP2PbO, from the Alexandria database.

**Total moment**: 2.02 μB per formula unit
**DOS(E_F)**: 8.5 states/eV/cell
**Distance to the lowest polymorph of the same formula**: 597 kJ/mol of formula units
**Crystal system**: tetragonal

Lattice parameters (Å, degrees): 5.4823 5.4823 4.3529 90.00 90.00 90.00
Space group P4/mmm (No. 123)
Unique sites:
V 0.0000 0.0000 0.0000 [1 per cell]
P 0.0000 0.5000 0.5000 [2 per cell]
Pb 0.5000 0.5000 0.5000 [1 per cell]
O 0.5000 0.5000 0.0000 [1 per cell]